# PBE LaC2F, optimized geometry
data_LaC2F
_cell_length_a 3.316
_cell_length_b 3.316
_cell_length_c 19.690
_cell_angle_alpha 90.00
_cell_angle_beta 90.00
_cell_angle_gamma 90.00
_space_group_name_H-M_alt 'I 41/a m d'
_space_group_IT_number 141
loop_
_space_group_symop_operation_xyz
'x,y,z'
'-x,-y,-z'
'-y+1/4,x+3/4,z+1/4'
'y+1/4,-x+3/4,-z+1/4'
'-x+1/2,-y,z+1/2'
'x+1/2,y,-z+1/2'
'y+1/4,-x+1/4,z+3/4'
'-y+1/4,x+1/4,-z+3/4'
'x,-y,-z'
'-x,y,z'
'-y+1/4,-x+1/4,-z+3/4'
'y+1/4,x+1/4,z+3/4'
'-x+1/2,y,-z+1/2'
'x+1/2,-y,z+1/2'
'y+1/4,x+3/4,-z+1/4'
'-y+1/4,-x+3/4,z+1/4'
'x+1/2,y+1/2,z+1/2'
'-x+1/2,-y+1/2,-z+1/2'
'-y+3/4,x+1/4,z+3/4'
'y+3/4,-x+1/4,-z+3/4'
'-x,-y+1/2,z'
'x,y+1/2,-z'
'y+3/4,-x+3/4,z+1/4'
'-y+3/4,x+3/4,-z+1/4'
'x+1/2,-y+1/2,-z+1/2'
'-x+1/2,y+1/2,z+1/2'
'-y+3/4,-x+3/4,-z+1/4'
'y+3/4,x+3/4,z+1/4'
'-x,y+1/2,-z'
'x,-y+1/2,z'
'y+3/4,x+1/4,-z+3/4'
'-y+3/4,-x+1/4,z+3/4'
loop_
_atom_site_label
_atom_site_fract_x
_atom_site_fract_y
_atom_site_fract_z
La1 0.000 0.250 0.375
C1 0.000 0.000 0.000
F1 0.000 0.250 0.875
# DOS at the Fermi energy: 0.40 states/eV per atom
# E above lowest polymorph: 0 meV per atom